(1)
Material: Na2HfScTe4
Method: DFT, PBE
State: relaxed

Lattice parameters (Å, degrees): 4.148 7.214 8.022 107.30 90.00 90.00
Positions (direct):
1 Na 0.500 0.000 0.500
2 Na 0.000 0.500 0.500
3 Hf 0.500 0.500 0.000
4 Sc 0.000 0.000 0.000
5 Te 0.500 0.243 0.222
6 Te 0.500 0.757 0.778
7 Te 0.000 0.262 0.778
8 Te 0.000 0.738 0.222

Values from the calculation:
Uncorrected formation energy ... -1.003 eV/atom
Electronic total energy ... -4.94 eV/atom
Symmetry ... P2/m

---

(2)
Material: Li2SmNi9
Method: DFT, PBE
State: relaxed

Lattice parameters (Å, degrees): 4.741 8.097 8.097 90.00 90.00 90.00
Positions (direct):
1 Li 0.000 0.614 0.114
2 Li 0.000 0.386 0.886
3 Li 0.000 0.114 0.386
4 Li 0.000 0.886 0.614
5 Sm 0.000 0.500 0.500
6 Sm 0.000 0.000 0.000
7 Ni 0.500 0.500 0.000
8 Ni 0.500 0.000 0.500
9 Ni 0.500 0.711 0.563
10 Ni 0.500 0.289 0.437
11 Ni 0.500 0.211 0.937
12 Ni 0.500 0.789 0.063
13 Ni 0.500 0.437 0.711
14 Ni 0.500 0.563 0.289
15 Ni 0.500 0.063 0.211
16 Ni 0.500 0.937 0.789
17 Ni 0.756 0.820 0.320
18 Ni 0.756 0.180 0.680
19 Ni 0.756 0.320 0.180
20 Ni 0.756 0.680 0.820
21 Ni 0.244 0.180 0.680
22 Ni 0.244 0.820 0.320
23 Ni 0.244 0.680 0.820
24 Ni 0.244 0.320 0.180

Values from the calculation:
Electronic total energy ... -5.19 eV/atom
Symmetry ... P4/mbm
DFT formation energy ... -3.36 kcal/mol of atoms

---

(3)
Material: CaPmTm2
Method: DFT, PBE
State: relaxed

Lattice parameters (Å, degrees): 3.626 3.626 10.303 90.00 90.00 90.00
Positions (direct):
1 Ca 0.500 0.500 0.500
2 Tm 0.000 0.000 0.768
3 Tm 0.000 0.000 0.232
4 Pm 0.500 0.500 0.000

Values from the calculation:
Electronic total energy ... -3.84 eV/atom
Excess energy over the best structure of this formula in the dataset ... 0.014 eV/atom
Symmetry ... P4/mmm
DFT formation energy ... 2.02 kcal/mol of atoms

---

(4)
Material: Sr8Ca3
Method: DFT, PBE
State: relaxed

Lattice parameters (Å, degrees): 8.615 8.615 8.615 83.11 83.11 83.11
Positions (direct):
1 Sr 0.853 0.238 0.231
2 Sr 0.238 0.231 0.853
3 Sr 0.231 0.853 0.238
4 Sr 0.393 0.393 0.393
5 Sr 0.607 0.607 0.607
6 Sr 0.769 0.147 0.762
7 Sr 0.762 0.769 0.147
8 Sr 0.147 0.762 0.769
9 Ca 0.500 0.000 0.500
10 Ca 0.000 0.500 0.500
11 Ca 0.500 0.500 0.000

Values from the calculation:
Electronic total energy ... -1.45 eV/atom
Excess energy over the best structure of this formula in the dataset ... 0.312 eV/atom
Symmetry ... R-3
DFT formation energy ... 7.46 kcal/mol of atoms